The following is a PBE-GGA calculation of crystalline Ca2GaPb at its relaxed geometry, from Alexandria.

Output
Its calculated formation energy is -0.0994 eV per atom.

a b c (Å): 3.719 3.719 32.665
angles (deg): 90.00 90.00 120.00
Sites, in units of the cell vectors:
Ca 0.000 0.000 0.099
Ca 0.000 0.000 0.901
Ca 0.333 0.667 0.568
Ca 0.333 0.667 0.766
Ca 0.667 0.333 0.234
Ca 0.667 0.333 0.432
Ga 0.000 0.000 0.500
Ga 0.333 0.667 0.167
Ga 0.667 0.333 0.833
Pb 0.000 0.000 0.000
Pb 0.333 0.667 0.667
Pb 0.667 0.333 0.333

---

The following is a PBE-GGA calculation of crystalline CaGaPb at its relaxed geometry, from Alexandria.

Output
Its calculated formation energy is -0.3850 eV per atom.

a b c (Å): 4.629 16.694 4.280
angles (deg): 90.00 90.00 90.00
Sites, in units of the cell vectors:
Ca 0.000 0.093 0.250
Ca 0.000 0.907 0.750
Ca 0.500 0.407 0.750
Ca 0.500 0.593 0.250
Ga 0.000 0.459 0.250
Ga 0.000 0.541 0.750
Ga 0.500 0.041 0.750
Ga 0.500 0.959 0.250
Pb 0.000 0.289 0.250
Pb 0.000 0.711 0.750
Pb 0.500 0.211 0.750
Pb 0.500 0.789 0.250